(1)
Entry from the Alexandria database: a relaxed Na2MoW crystal (PBE-GGA).

Properties
- energy of formation (eV/atom) = 1.794
- ΔE to the lowest computed polymorph (kcal/mol of atoms) = 0.00
- VASP energy (eV for the cell shown) = -38.49

a = 8.267 Å, b = 8.267 Å, c = 6.336 Å
α = 49.28°, β = 49.28°, γ = 90.00°
Element x y z (fractional)
W1 0.750 0.250 0.500
W2 0.000 0.000 0.000
Mo1 0.500 0.500 0.000
Mo2 0.250 0.750 0.500
Na1 0.129 0.625 0.250
Na2 0.875 0.871 0.750
Na3 0.621 0.125 0.250
Na4 0.375 0.379 0.750


(2)
Entry from the Alexandria database: a relaxed UTl2HSe4 crystal (PBE-GGA).

Properties
- VASP energy (eV for the cell shown) = -35.72

a = 3.990 Å, b = 8.040 Å, c = 7.217 Å
α = 70.24°, β = 90.00°, γ = 90.00°
Element x y z (fractional)
Tl1 0.500 0.000 0.500
Tl2 0.000 0.000 0.000
Se1 0.500 0.717 0.285
Se2 0.000 0.661 0.774
Se3 0.000 0.339 0.226
Se4 0.500 0.283 0.715
H1 0.500 0.500 0.000
U1 0.000 0.500 0.500


(3)
Entry from the Alexandria database: a relaxed TcSbTe2Ru crystal (PBE-GGA).

Properties
- ΔE to the lowest computed polymorph (kcal/mol of atoms) = 0.00
- E_form (uncorrected) (eV per atom) = 1.0938
- VASP energy (eV for the cell shown) = -24.58

a = 5.244 Å, b = 5.244 Å, c = 4.982 Å
α = 90.00°, β = 90.00°, γ = 90.00°
Element x y z (fractional)
Sb1 0.000 0.000 0.500
Te1 0.000 0.500 0.000
Te2 0.500 0.000 0.000
Tc1 0.500 0.500 0.500
Ru1 0.000 0.000 0.000